(1)
VASP calculation (GGA-PBE) on a geometry-optimized TaCoP structure.

```
data_TaCoP
_chemical_formula_sum 'Ta4 Co4 P4'
_space_group_name_H-M_alt 'P n m a'
_space_group_IT_number 62
_cell_length_a 6.115
_cell_length_b 3.596
_cell_length_c 6.955
_cell_angle_alpha 90.00
_cell_angle_beta 90.00
_cell_angle_gamma 90.00
loop_
_space_group_symop_operation_xyz
'x,y,z'
'-x,-y,-z'
'-x+1/2,-y,z+1/2'
'x+1/2,y,-z+1/2'
'x+1/2,-y+1/2,-z+1/2'
'-x+1/2,y+1/2,z+1/2'
'-x,y+1/2,-z'
'x,-y+1/2,z'
loop_
_atom_site_label
_atom_site_type_symbol
_atom_site_fract_x
_atom_site_fract_y
_atom_site_fract_z
Ta1 Ta 0.025 0.250 0.172
Co1 Co 0.148 0.250 0.563
P1 P 0.221 0.750 0.379
```

uncorrected energy	-107.4	eV for the cell shown

=====

(2)
VASP calculation (GGA-PBE) on a geometry-optimized TaCo2P structure.

```
data_TaCo2P
_chemical_formula_sum 'Ta3 Co6 P3'
_space_group_name_H-M_alt 'R 3 m'
_space_group_IT_number 160
_space_group_name_Hall 'R 3 -2"'
_cell_length_a 2.7879
_cell_length_b 2.7879
_cell_length_c 23.5608
_cell_angle_alpha 90.00
_cell_angle_beta 90.00
_cell_angle_gamma 120.00
loop_
_atom_site_label
_atom_site_type_symbol
_atom_site_fract_x
_atom_site_fract_y
_atom_site_fract_z
Ta1 Ta 0.0000 0.0000 0.0000
Co1 Co 0.0000 0.0000 0.5071
Co2 Co 0.0000 0.0000 0.7572
P1 P 0.0000 0.0000 0.2417
```

uncorrected energy	-93.3	eV for the cell shown

=====

(3)
VASP calculation (GGA-PBE) on a geometry-optimized TaCo2P structure.

```
data_TaCo2P
_chemical_formula_sum 'Ta1 Co2 P1'
_space_group_name_H-M_alt 'P 1 2/m 1'
_space_group_IT_number 10
_cell_length_a 2.909
_cell_length_b 3.692
_cell_length_c 4.898
_cell_angle_alpha 90.00
_cell_angle_beta 90.14
_cell_angle_gamma 90.00
loop_
_space_group_symop_operation_xyz
'x,y,z'
'-x,-y,-z'
'-x,y,-z'
'x,-y,z'
loop_
_atom_site_label
_atom_site_type_symbol
_atom_site_fract_x
_atom_site_fract_y
_atom_site_fract_z
Ta1 Ta 0.000 0.000 0.000
Co1 Co 0.500 0.500 0.248
P1 P 0.500 0.000 0.500
```

uncorrected energy	-32.6	eV for the cell shown

=====

(4)
VASP calculation (GGA-PBE) on a geometry-optimized Ta3CoP2 structure.

```
data_Ta3CoP2
_chemical_formula_sum 'Ta12 Co4 P8'
_space_group_name_H-M_alt 'P n m a'
_space_group_IT_number 62
_cell_length_a 10.060
_cell_length_b 3.559
_cell_length_c 9.846
_cell_angle_alpha 90.00
_cell_angle_beta 90.00
_cell_angle_gamma 90.00
loop_
_space_group_symop_operation_xyz
'x,y,z'
'-x,-y,-z'
'-x+1/2,-y,z+1/2'
'x+1/2,y,-z+1/2'
'x+1/2,-y+1/2,-z+1/2'
'-x+1/2,y+1/2,z+1/2'
'-x,y+1/2,-z'
'x,-y+1/2,z'
loop_
_atom_site_label
_atom_site_type_symbol
_atom_site_fract_x
_atom_site_fract_y
_atom_site_fract_z
Ta1 Ta 0.052 0.250 0.115
Ta2 Ta 0.122 0.750 0.572
Ta3 Ta 0.206 0.250 0.787
Co1 Co 0.128 0.250 0.379
P1 P 0.029 0.750 0.307
P2 P 0.193 0.750 0.002
```

uncorrected energy	-228.9	eV for the cell shown

=====

(5)
VASP calculation (GGA-PBE) on a geometry-optimized TaCo3P structure.

```
data_TaCo3P
_chemical_formula_sum 'Ta1 Co3 P1'
_space_group_name_H-M_alt 'P m -3 m'
_space_group_IT_number 221
_space_group_name_Hall '-P 4 2 3'
_cell_length_a 4.463
_cell_length_b 4.463
_cell_length_c 4.463
_cell_angle_alpha 90.00
_cell_angle_beta 90.00
_cell_angle_gamma 90.00
loop_
_atom_site_label
_atom_site_type_symbol
_atom_site_fract_x
_atom_site_fract_y
_atom_site_fract_z
Ta1 Ta 0.000 0.000 0.000
Co1 Co 0.000 0.000 0.500
P1 P 0.500 0.500 0.500
```

uncorrected energy	-30.4	eV for the cell shown

=====

(6)
VASP calculation (GGA-PBE) on a geometry-optimized TaCoP structure.

```
data_TaCoP
_chemical_formula_sum 'Ta1 Co1 P1'
_space_group_name_H-M_alt 'P 3 m 1'
_space_group_IT_number 156
_cell_length_a 2.8235
_cell_length_b 2.8235
_cell_length_c 6.0004
_cell_angle_alpha 90.00
_cell_angle_beta 90.00
_cell_angle_gamma 120.00
loop_
_space_group_symop_operation_xyz
'x,y,z'
'-y,x-y,z'
'-x+y,-x,z'
'-y,-x,z'
'-x+y,y,z'
'x,x-y,z'
loop_
_atom_site_label
_atom_site_type_symbol
_atom_site_fract_x
_atom_site_fract_y
_atom_site_fract_z
Ta1 Ta 0.0000 0.0000 0.0000
Co1 Co 0.3333 0.6667 0.3710
P1 P 0.6667 0.3333 0.6351
```

uncorrected energy	-24.4	eV for the cell shown

=====

(7)
VASP calculation (GGA-PBE) on a geometry-optimized TaCo3P structure.

```
data_TaCo3P
_chemical_formula_sum 'Ta1 Co3 P1'
_space_group_name_H-M_alt 'P m -3 m'
_space_group_IT_number 221
_space_group_name_Hall '-P 4 2 3'
_cell_length_a 4.082
_cell_length_b 4.082
_cell_length_c 4.082
_cell_angle_alpha 90.00
_cell_angle_beta 90.00
_cell_angle_gamma 90.00
loop_
_atom_site_label
_atom_site_type_symbol
_atom_site_fract_x
_atom_site_fract_y
_atom_site_fract_z
Ta1 Ta 0.000 0.000 0.000
Co1 Co 0.000 0.500 0.500
P1 P 0.500 0.500 0.500
```

uncorrected energy	-37.4	eV for the cell shown

=====

(8)
VASP calculation (GGA-PBE) on a geometry-optimized TaCoP structure.

```
data_TaCoP
_chemical_formula_sum 'Ta1 Co1 P1'
_space_group_name_H-M_alt 'P -6 m 2'
_space_group_IT_number 187
_space_group_name_Hall 'P -6 2'
_cell_length_a 3.7079
_cell_length_b 3.7079
_cell_length_c 3.3681
_cell_angle_alpha 90.00
_cell_angle_beta 90.00
_cell_angle_gamma 120.00
loop_
_atom_site_label
_atom_site_type_symbol
_atom_site_fract_x
_atom_site_fract_y
_atom_site_fract_z
Ta1 Ta 0.0000 0.0000 0.0000
Co1 Co 0.3333 0.6667 0.5000
P1 P 0.6667 0.3333 0.5000
```

uncorrected energy	-26.4	eV for the cell shown

=====

(9)
VASP calculation (GGA-PBE) on a geometry-optimized TaCo2P structure.

```
data_TaCo2P
_chemical_formula_sum 'Ta3 Co6 P3'
_space_group_name_H-M_alt 'R 3 m'
_space_group_IT_number 160
_space_group_name_Hall 'R 3 -2"'
_cell_length_a 3.8124
_cell_length_b 3.8124
_cell_length_c 12.4012
_cell_angle_alpha 90.00
_cell_angle_beta 90.00
_cell_angle_gamma 120.00
loop_
_atom_site_label
_atom_site_type_symbol
_atom_site_fract_x
_atom_site_fract_y
_atom_site_fract_z
Ta1 Ta 0.0000 0.0000 0.0000
Co1 Co 0.0000 0.0000 0.2174
Co2 Co 0.0000 0.0000 0.4327
P1 P 0.0000 0.0000 0.7991
```

uncorrected energy	-99.6	eV for the cell shown

=====

(10)
VASP calculation (GGA-PBE) on a geometry-optimized TaCo2P structure.

```
data_TaCo2P
_chemical_formula_sum 'Ta2 Co4 P2'
_space_group_name_H-M_alt 'A m m 2'
_space_group_IT_number 38
_cell_length_a 3.636
_cell_length_b 2.858
_cell_length_c 9.848
_cell_angle_alpha 90.00
_cell_angle_beta 90.00
_cell_angle_gamma 90.00
loop_
_space_group_symop_operation_xyz
'x,y,z'
'-x,-y,z'
'-x,y,z'
'x,-y,z'
'x,y+1/2,z+1/2'
'-x,-y+1/2,z+1/2'
'-x,y+1/2,z+1/2'
'x,-y+1/2,z+1/2'
loop_
_atom_site_label
_atom_site_type_symbol
_atom_site_fract_x
_atom_site_fract_y
_atom_site_fract_z
Ta1 Ta 0.000 0.000 0.000
Co1 Co 0.000 0.000 0.259
Co2 Co 0.500 0.000 0.646
P1 P 0.500 0.000 0.378
```

uncorrected energy	-65.2	eV for the cell shown

=====

Look up the uncorrected energy of the tenth one.
-65.2 eV for the cell shown